Entry 1:
Density functional theory data (GGA-PBE) for crystalline VTePd2 at its relaxed geometry.

Calculated values
E_form (uncorrected) = 2 meV per atom

a = 3.955 Å, b = 3.955 Å, c = 18.898 Å
α = 90.00°, β = 90.00°, γ = 90.00°
Space group I-42d (No. 122)
Unique sites:
V  0.000  0.000  0.000 (multiplicity 4)
Te  0.000  0.000  0.500 (multiplicity 4)
Pd  0.244  0.250  0.125 (multiplicity 8)

---

Entry 2:
Density functional theory data (GGA-PBE) for crystalline IClO at its relaxed geometry.

Calculated values
E_form (uncorrected) = -67 meV per atom
energy relative to the lowest polymorph listed for this composition = 84 meV per atom

a = 4.503 Å, b = 5.524 Å, c = 7.447 Å
α = 72.49°, β = 84.68°, γ = 79.93°
Space group P-1 (No. 2)
Unique sites:
I  0.011  0.488  0.214 (multiplicity 2)
Cl  0.265  0.199  0.625 (multiplicity 2)
O  0.193  0.288  0.011 (multiplicity 2)

---

Entry 3:
Density functional theory data (GGA-PBE) for crystalline Co2Si at its relaxed geometry.

Calculated values
E_form (uncorrected) = -156 meV per atom

a = 2.663 Å, b = 2.663 Å, c = 19.091 Å
α = 90.00°, β = 90.00°, γ = 90.00°
Space group I4_1/amd (No. 141, origin choice 2)
Unique sites:
Co  0.000  0.250  0.304 (multiplicity 8)
Si  0.000  0.250  0.875 (multiplicity 4)

---

Entry 4:
Density functional theory data (GGA-PBE) for crystalline BeSb2As at its relaxed geometry.

Calculated values
E_form (uncorrected) = 168 meV per atom
energy relative to the lowest polymorph listed for this composition = 11 meV per atom

a = 3.9057 Å, b = 3.9057 Å, c = 21.3867 Å
α = 90.00°, β = 90.00°, γ = 120.00°
Space group R3m (No. 160, hexagonal axes)
Unique sites:
Be  0.0000  0.0000  0.0000 (multiplicity 3)
Sb  0.0000  0.0000  0.5480 (multiplicity 3)
Sb  0.0000  0.0000  0.7946 (multiplicity 3)
As  0.0000  0.0000  0.3316 (multiplicity 3)

---

Entry 5:
Density functional theory data (GGA-PBE) for crystalline Al2SiGe at its relaxed geometry.

Calculated values
E_form (uncorrected) = 355 meV per atom
energy relative to the lowest polymorph listed for this composition = 209 meV per atom

a = 6.001 Å, b = 6.001 Å, c = 10.642 Å
α = 90.00°, β = 90.00°, γ = 90.00°
Space group I-42d (No. 122)
Unique sites:
Al  0.242  0.250  0.125 (multiplicity 8)
Si  0.000  0.000  0.000 (multiplicity 4)
Ge  0.000  0.000  0.500 (multiplicity 4)

---

Entry 6:
Density functional theory data (GGA-PBE) for crystalline AcZnCuPd6 at its relaxed geometry.

Calculated values
formation enthalpy at 0 K = -0.099 eV/atom

a = 8.064 Å, b = 8.100 Å, c = 11.430 Å
α = 90.00°, β = 90.00°, γ = 90.00°
Space group Imma (No. 74)
Unique sites:
Ac  0.000  0.250  0.130 (multiplicity 4)
Zn  0.250  0.250  0.750 (multiplicity 4)
Cu  0.000  0.000  0.500 (multiplicity 4)
Pd  0.000  0.250  0.376 (multiplicity 4)
Pd  0.000  0.250  0.879 (multiplicity 4)
Pd  0.248  0.002  0.125 (multiplicity 16)

---

Entry 7:
Density functional theory data (GGA-PBE) for crystalline BaMg2Zn at its relaxed geometry.

Calculated values
formation enthalpy at 0 K = 0.005 eV/atom

a = 12.048 Å, b = 3.865 Å, c = 5.741 Å
α = 90.00°, β = 118.37°, γ = 90.00°
Space group C2/m (No. 12)
Unique sites:
Ba  0.000  0.000  0.000 (multiplicity 2)
Mg  0.205  0.000  0.703 (multiplicity 4)
Zn  0.000  0.500  0.500 (multiplicity 2)

---

Entry 8:
Density functional theory data (GGA-PBE) for crystalline MgSiAsO6 at its relaxed geometry.

Calculated values
E_form (uncorrected) = -1895 meV per atom

a = 4.7879 Å, b = 4.7879 Å, c = 8.9382 Å
α = 90.00°, β = 90.00°, γ = 120.00°
Space group P-31c (No. 163)
Unique sites:
Mg  0.0000  0.0000  0.0000 (multiplicity 2)
Si  0.3333  0.6667  0.2500 (multiplicity 2)
As  0.3333  0.6667  0.7500 (multiplicity 2)
O  0.0095  0.3654  0.1392 (multiplicity 12)

---

Entry 9:
Density functional theory data (GGA-PBE) for crystalline PtIN3 at its relaxed geometry.

Calculated values
E_form (uncorrected) = 1980 meV per atom

a = 3.994 Å, b = 3.994 Å, c = 3.994 Å
α = 90.00°, β = 90.00°, γ = 90.00°
Space group Pm-3m (No. 221)
Unique sites:
Pt  0.000  0.000  0.000 (multiplicity 1)
I  0.500  0.500  0.500 (multiplicity 1)
N  0.000  0.000  0.500 (multiplicity 3)

---

Entry 10:
Density functional theory data (GGA-PBE) for crystalline Cu3AgBr at its relaxed geometry.

Calculated values
E_form (uncorrected) = 931 meV per atom
energy relative to the lowest polymorph listed for this composition = 80 meV per atom

a = 4.711 Å, b = 4.711 Å, c = 4.711 Å
α = 90.00°, β = 90.00°, γ = 90.00°
Space group Pm-3m (No. 221)
Unique sites:
Cu  0.000  0.000  0.500 (multiplicity 3)
Ag  0.500  0.500  0.500 (multiplicity 1)
Br  0.000  0.000  0.000 (multiplicity 1)

---

Entry 11:
Density functional theory data (GGA-PBE) for crystalline Ac4EuEr at its relaxed geometry.

Calculated values
formation enthalpy at 0 K = 0.313 eV/atom

a = 10.271 Å, b = 10.271 Å, c = 10.271 Å
α = 90.00°, β = 90.00°, γ = 90.00°
Space group F-43m (No. 216)
Unique sites:
Ac  0.124  0.124  0.376 (multiplicity 16)
Eu  0.000  0.000  0.000 (multiplicity 4)
Er  0.250  0.250  0.750 (multiplicity 4)

---

Entry 12:
Density functional theory data (GGA-PBE) for crystalline MnNbFeMo at its relaxed geometry.

Calculated values
formation enthalpy at 0 K = 0.058 eV/atom

a = 6.080 Å, b = 6.080 Å, c = 6.080 Å
α = 90.00°, β = 90.00°, γ = 90.00°
Space group F-43m (No. 216)
Unique sites:
Mn  0.000  0.000  0.000 (multiplicity 4)
Nb  0.250  0.250  0.750 (multiplicity 4)
Fe  0.000  0.000  0.500 (multiplicity 4)
Mo  0.250  0.250  0.250 (multiplicity 4)

---

Entry 13:
Density functional theory data (GGA-PBE) for crystalline Ho5Sb2Ru at its relaxed geometry.

Calculated values
E_form (uncorrected) = -422 meV per atom

a = 5.747 Å, b = 9.103 Å, c = 16.080 Å
α = 90.00°, β = 90.00°, γ = 90.00°
Space group Cmcm (No. 63)
Unique sites:
Ho  0.000  0.058  0.095 (multiplicity 8)
Ho  0.000  0.255  0.750 (multiplicity 4)
Ho  0.000  0.393  0.143 (multiplicity 8)
Sb  0.000  0.288  0.557 (multiplicity 8)
Ru  0.000  0.107  0.250 (multiplicity 4)

---

Entry 14:
Density functional theory data (GGA-PBE) for crystalline In2Pb3 at its relaxed geometry.

Calculated values
formation enthalpy at 0 K = 0.059 eV/atom
energy relative to the lowest polymorph listed for this composition = 31 meV per atom

a = 13.806 Å, b = 27.470 Å, c = 3.260 Å
α = 90.00°, β = 90.00°, γ = 90.00°
Space group Fdd2 (No. 43)
Unique sites:
In  0.048  0.292  0.000 (multiplicity 16)
Pb  0.000  0.000  0.336 (multiplicity 8)
Pb  0.106  0.398  0.323 (multiplicity 16)

---

Entry 15:
Density functional theory data (GGA-PBE) for crystalline AcDyTh at its relaxed geometry.

Calculated values
formation enthalpy at 0 K = 0.095 eV/atom
energy relative to the lowest polymorph listed for this composition = 7 meV per atom

a = 3.6972 Å, b = 3.6972 Å, c = 9.0571 Å
α = 90.00°, β = 90.00°, γ = 120.00°
Space group P3m1 (No. 156)
Unique sites:
Ac  0.0000  0.0000  0.0000 (multiplicity 1)
Dy  0.6667  0.3333  0.3540 (multiplicity 1)
Th  0.3333  0.6667  0.6634 (multiplicity 1)

---

Entry 16:
Density functional theory data (GGA-PBE) for crystalline K3In4Au4 at its relaxed geometry.

Calculated values
formation enthalpy at 0 K = -0.313 eV/atom

a = 8.745 Å, b = 8.745 Å, c = 8.745 Å
α = 90.00°, β = 90.00°, γ = 90.00°
Space group I-43m (No. 217)
Unique sites:
K  0.000  0.000  0.500 (multiplicity 6)
In  0.138  0.138  0.862 (multiplicity 8)
Au  0.182  0.182  0.182 (multiplicity 8)

---

Entry 17:
Density functional theory data (GGA-PBE) for crystalline NdHfCd4 at its relaxed geometry.

Calculated values
formation enthalpy at 0 K = -0.040 eV/atom

a = 8.254 Å, b = 8.254 Å, c = 8.254 Å
α = 90.00°, β = 90.00°, γ = 90.00°
Space group F-43m (No. 216)
Unique sites:
Nd  0.000  0.000  0.000 (multiplicity 4)
Hf  0.250  0.250  0.750 (multiplicity 4)
Cd  0.125  0.125  0.375 (multiplicity 16)

---

Entry 18:
Density functional theory data (GGA-PBE) for crystalline LaDyOs at its relaxed geometry.

Calculated values
formation enthalpy at 0 K = -0.138 eV/atom
energy relative to the lowest polymorph listed for this composition = 10 meV per atom

a = 3.456 Å, b = 3.456 Å, c = 13.770 Å
α = 90.00°, β = 90.00°, γ = 90.00°
Space group I4mm (No. 107)
Unique sites:
La  0.000  0.000  0.000 (multiplicity 2)
Dy  0.000  0.000  0.247 (multiplicity 2)
Os  0.000  0.000  0.630 (multiplicity 2)

---

The records above yield calculated volume values of 74, 87, 34, 94, 96, 187, 118, 89, 64, 105, 271, 56, 210, 155, 107, 334, 141, 82 Å³/f.u., respectively.